1.
# LiCuRu | Alexandria via LeMat-Bulk | GGA-PBE | optimized geometry
data_LiCuRu
_space_group_name_H-M_alt 'F m m 2'
_space_group_IT_number 42
_space_group_name_Hall 'F 2 -2'
_cell_length_a 2.806
_cell_length_b 4.290
_cell_length_c 13.322
_cell_angle_alpha 90.00
_cell_angle_beta 90.00
_cell_angle_gamma 90.00
loop_
_atom_site_label
_atom_site_fract_x
_atom_site_fract_y
_atom_site_fract_z
_atom_site_occupancy
Li1 0.000 0.000 0.000 1
Cu1 0.000 0.000 0.335 1
Ru1 0.000 0.000 0.668 1
# ΔH_f (0 K) in eV/atom: 0.188
# Crystal system: orthorhombic
# D(E_F) in states/eV/f.u.: 1.54

***

2.
# Pu4CdPd2Pt | Alexandria via LeMat-Bulk | GGA-PBE | optimized geometry
data_Pu4CdPd2Pt
_space_group_name_H-M_alt 'R -3 m'
_space_group_IT_number 166
_space_group_name_Hall '-R 3 2"'
_cell_length_a 5.1090
_cell_length_b 5.1090
_cell_length_c 24.5652
_cell_angle_alpha 90.00
_cell_angle_beta 90.00
_cell_angle_gamma 120.00
loop_
_atom_site_label
_atom_site_fract_x
_atom_site_fract_y
_atom_site_fract_z
_atom_site_occupancy
Pu1 0.0000 0.0000 0.1142 1
Pu2 0.0000 0.0000 0.3645 1
Cd1 0.0000 0.0000 0.5000 1
Pd1 0.0000 0.0000 0.2361 1
Pt1 0.0000 0.0000 0.0000 1
# ΔH_f (0 K) in eV/atom: -0.371
# Crystal system: trigonal
# D(E_F) in states/eV/f.u.: 34.59

***

The evaluated uncorrected energy for the records listed, in turn: -58.88, -232.91 eV/cell.
The evaluated M_tot for the records listed, in turn: 0.0, 22.9 μB per formula unit.